## i
Ba3LiAs2O8 | GGA-PBE | relaxed

Output
SG: Cm (8)

Unit cell a=6.2244 b=6.2244 c=8.8789 alpha=119.91 beta=119.91 gamma=54.32
Fractional coordinates of all 14 atoms:
Ba1 0.0000 0.0000 0.0000
Ba2 0.5798 0.5798 0.7723
Ba3 0.7389 0.7389 0.4450
Li1 0.9094 0.9094 0.2628
As1 0.1537 0.1537 0.6131
As2 0.3726 0.3726 0.1868
O1 0.0133 0.5199 0.1172
O2 0.0286 0.5163 0.7189
O3 0.0430 0.0430 0.7222
O4 0.1201 0.1201 0.3709
O5 0.4753 0.4753 0.4208
O6 0.4860 0.4860 0.1116
O7 0.5163 0.0286 0.7189
O8 0.5199 0.0133 0.1172

---

## ii
Ba3LiAs2O8 | GGA-PBE | relaxed

Output
SG: R-3m (166)

Unit cell a=8.3180 b=8.3180 c=8.3180 alpha=41.44 beta=41.44 gamma=41.44
Fractional coordinates of all 14 atoms:
Ba1 0.0000 0.0000 0.0000
Ba2 0.2075 0.2075 0.2075
Ba3 0.7925 0.7925 0.7925
Li1 0.5000 0.5000 0.5000
As1 0.3973 0.3973 0.3973
As2 0.6027 0.6027 0.6027
O1 0.2541 0.7219 0.7219
O2 0.2781 0.2781 0.7459
O3 0.2781 0.7459 0.2781
O4 0.3203 0.3203 0.3203
O5 0.6797 0.6797 0.6797
O6 0.7219 0.2541 0.7219
O7 0.7219 0.7219 0.2541
O8 0.7459 0.2781 0.2781

---

## iii
Ba3LiAs2O8 | GGA-PBE | relaxed

Output
SG: P-3m1 (164)

Unit cell a=5.8789 b=5.8789 c=7.6225 alpha=90.00 beta=90.00 gamma=120.00
Fractional coordinates of all 14 atoms:
Ba1 0.0000 0.0000 0.0000
Ba2 0.3333 0.6667 0.6497
Ba3 0.6667 0.3333 0.3503
Li1 0.0000 0.0000 0.5000
As1 0.3333 0.6667 0.2149
As2 0.6667 0.3333 0.7851
O1 0.1724 0.3449 0.3104
O2 0.1724 0.8276 0.3104
O3 0.3333 0.6667 0.9841
O4 0.3449 0.1724 0.6896
O5 0.6551 0.8276 0.3104
O6 0.6667 0.3333 0.0159
O7 0.8276 0.1724 0.6896
O8 0.8276 0.6551 0.6896

---

## iv
Ba3LiAs2O8 | GGA-PBE | relaxed

Output
SG: R3m (160)

Unit cell a=8.8861 b=8.8861 c=8.8861 alpha=38.68 beta=38.68 gamma=38.68
Fractional coordinates of all 14 atoms:
Ba1 0.0000 0.0000 0.0000
Ba2 0.2100 0.2100 0.2100
Ba3 0.7637 0.7637 0.7637
Li1 0.8849 0.8849 0.8849
As1 0.3891 0.3891 0.3891
As2 0.5879 0.5879 0.5879
O1 0.2355 0.7163 0.7163
O2 0.2552 0.2552 0.7319
O3 0.2552 0.7319 0.2552
O4 0.3189 0.3189 0.3189
O5 0.6646 0.6646 0.6646
O6 0.7163 0.2355 0.7163
O7 0.7163 0.7163 0.2355
O8 0.7319 0.2552 0.2552

---

What should be chosen as the least stable of them? Choose iv.

---

## i
Ba2MgAs | GGA-PBE | relaxed

Output
SG: Imm2 (44)

Unit cell a=4.2419 b=5.3817 c=12.2297 alpha=90.00 beta=90.00 gamma=90.00
Fractional coordinates of all 8 atoms:
Ba1 0.0000 0.0000 0.0000
Ba2 0.0000 0.5000 0.2058
Ba3 0.5000 0.0000 0.7058
Ba4 0.5000 0.5000 0.5000
Mg1 0.0000 0.5000 0.8028
Mg2 0.5000 0.0000 0.3028
As1 0.0000 0.0000 0.4482
As2 0.5000 0.5000 0.9482

---

## ii
Ba2MgAs | GGA-PBE | relaxed

Output
SG: I-42d (122)

Unit cell a=9.2798 b=9.2798 c=8.1488 alpha=90.00 beta=90.00 gamma=90.00
Fractional coordinates of all 16 atoms:
Ba1 0.1994 0.2500 0.1250
Ba2 0.2500 0.6994 0.3750
Ba3 0.2500 0.8006 0.8750
Ba4 0.3006 0.2500 0.6250
Ba5 0.6994 0.7500 0.6250
Ba6 0.7500 0.1994 0.8750
Ba7 0.7500 0.3006 0.3750
Ba8 0.8006 0.7500 0.1250
Mg1 0.0000 0.0000 0.5000
Mg2 0.0000 0.5000 0.7500
Mg3 0.5000 0.0000 0.2500
Mg4 0.5000 0.5000 0.0000
As1 0.0000 0.0000 0.0000
As2 0.0000 0.5000 0.2500
As3 0.5000 0.0000 0.7500
As4 0.5000 0.5000 0.5000

---

## iii
Ba2MgAs | GGA-PBE | relaxed

Output
SG: R-3m (166)

Unit cell a=4.7758 b=4.7758 c=27.3825 alpha=90.00 beta=90.00 gamma=120.00
Fractional coordinates of all 12 atoms:
Ba1 0.0000 0.0000 0.2305
Ba2 0.0000 0.0000 0.7695
Ba3 0.3333 0.6667 0.4361
Ba4 0.3333 0.6667 0.8972
Ba5 0.6667 0.3333 0.1028
Ba6 0.6667 0.3333 0.5639
Mg1 0.0000 0.0000 0.0000
Mg2 0.3333 0.6667 0.6667
Mg3 0.6667 0.3333 0.3333
As1 0.0000 0.0000 0.5000
As2 0.3333 0.6667 0.1667
As3 0.6667 0.3333 0.8333

---

## iv
Ba2MgAs | GGA-PBE | relaxed

Output
SG: Amm2 (38)

Unit cell a=4.5714 b=5.0028 c=13.0019 alpha=90.00 beta=90.00 gamma=90.00
Fractional coordinates of all 8 atoms:
Ba1 0.0000 0.0000 0.0000
Ba2 0.0000 0.5000 0.5000
Ba3 0.5000 0.0000 0.2866
Ba4 0.5000 0.5000 0.7866
Mg1 0.0000 0.0000 0.6949
Mg2 0.0000 0.5000 0.1949
As1 0.5000 0.0000 0.5675
As2 0.5000 0.5000 0.0675

---

What should be chosen as the least stable of them? Choose ii.